Record 1
First-principles (PBE-GGA) data for KSn3Au3 after structural relaxation, as listed in Alexandria via LeMat-Bulk.

Computed properties:
* total magnetic moment: 0.0 μB/f.u.
* ΔE_f: -2.0 eV/f.u.
* ΔE to the lowest computed polymorph: 0 meV/atom
* DOS at the Fermi energy: 2.91 states/eV/f.u.

Cell and atoms, written as CIF:
```
data_KSn3Au3
_chemical_formula_sum 'K2 Sn6 Au6'
_space_group_name_H-M_alt 'P m m n'
_space_group_IT_number 59
_cell_length_a 4.759
_cell_length_b 7.831
_cell_length_c 9.461
_cell_angle_alpha 90.00
_cell_angle_beta 90.00
_cell_angle_gamma 90.00
loop_
_space_group_symop_operation_xyz
'x,y,z'
'-x,-y,-z'
'-x+1/2,-y+1/2,z'
'x+1/2,y+1/2,-z'
'x+1/2,-y,-z'
'-x+1/2,y,z'
'-x,y+1/2,-z'
'x,-y+1/2,z'
loop_
_atom_site_label
_atom_site_fract_x
_atom_site_fract_y
_atom_site_fract_z
_atom_site_occupancy
K1 0.250 0.250 0.237 1
Sn1 0.250 0.048 0.621 1
Sn2 0.250 0.750 0.113 1
Au1 0.250 0.035 0.916 1
Au2 0.250 0.750 0.428 1
```

---

Record 2
First-principles (PBE-GGA) data for KSn4Au after structural relaxation, as listed in Alexandria via LeMat-Bulk.

Computed properties:
* total magnetic moment: 0.0 μB/f.u.
* ΔE_f: -0.7 eV/f.u.
* DOS at the Fermi energy: 2.19 states/eV/f.u.

Cell and atoms, written as CIF:
```
data_KSn4Au
_chemical_formula_sum 'K4 Sn16 Au4'
_space_group_name_H-M_alt 'C m c m'
_space_group_IT_number 63
_space_group_name_Hall '-C 2c 2'
_cell_length_a 5.057
_cell_length_b 22.193
_cell_length_c 6.452
_cell_angle_alpha 90.00
_cell_angle_beta 90.00
_cell_angle_gamma 90.00
loop_
_atom_site_label
_atom_site_fract_x
_atom_site_fract_y
_atom_site_fract_z
_atom_site_occupancy
K1 0.000 0.122 0.250 1
Sn1 0.000 0.043 0.750 1
Sn2 0.000 0.285 0.512 1
Sn3 0.000 0.500 0.000 1
Au1 0.000 0.384 0.250 1
```

---

Record 3
First-principles (PBE-GGA) data for K3SnAu3 after structural relaxation, as listed in Alexandria via LeMat-Bulk.

Computed properties:
* total magnetic moment: 0.0 μB/f.u.
* ΔE_f: -2.2 eV/f.u.
* ΔE to the lowest computed polymorph: 0 meV/atom
* DOS at the Fermi energy: 2.17 states/eV/f.u.

Cell and atoms, written as CIF:
```
data_K3SnAu3
_chemical_formula_sum 'K12 Sn4 Au12'
_space_group_name_H-M_alt 'C 1 2/m 1'
_space_group_IT_number 12
_space_group_name_Hall '-C 2y'
_cell_length_a 11.881
_cell_length_b 4.894
_cell_length_c 16.232
_cell_angle_alpha 90.00
_cell_angle_beta 109.81
_cell_angle_gamma 90.00
loop_
_atom_site_label
_atom_site_fract_x
_atom_site_fract_y
_atom_site_fract_z
_atom_site_occupancy
K1 0.034 0.000 0.272 1
K2 0.143 0.500 0.130 1
K3 0.176 0.000 0.575 1
Sn1 0.170 0.500 0.913 1
Au1 0.026 0.500 0.421 1
Au2 0.097 0.000 0.964 1
Au3 0.165 0.500 0.740 1
```

---

Record 4
First-principles (PBE-GGA) data for K4SnAu4 after structural relaxation, as listed in Alexandria via LeMat-Bulk.

Computed properties:
* total magnetic moment: 0.0 μB/f.u.
* ΔE_f: -1.5 eV/f.u.
* DOS at the Fermi energy: 6.00 states/eV/f.u.

Cell and atoms, written as CIF:
```
data_K4SnAu4
_chemical_formula_sum 'K8 Sn2 Au8'
_space_group_name_H-M_alt 'I -4 2 m'
_space_group_IT_number 121
_space_group_name_Hall 'I -4 2'
_cell_length_a 7.041
_cell_length_b 7.041
_cell_length_c 13.774
_cell_angle_alpha 90.00
_cell_angle_beta 90.00
_cell_angle_gamma 90.00
loop_
_atom_site_label
_atom_site_fract_x
_atom_site_fract_y
_atom_site_fract_z
_atom_site_occupancy
K1 0.210 0.210 0.142 1
Sn1 0.000 0.000 0.500 1
Au1 0.228 0.228 0.389 1
```